Record 1
The following is a DFT calculation (PBE) of CsWCl6 after structural relaxation.

Results
Electronic total energy (eV/cell): -68.730
E_form (uncorrected) (eV per atom): -1.18
Space group: No. 15
N(E_F) (states/eV per cell): 14.03
E above lowest polymorph (eV/atom): 0.000

Cell lengths 7.072, 7.072, 12.759 Å; angles 78.88, 78.88, 56.43 degrees
Element x y z (fractional)
Cl 0.624 0.806 0.346
Cl 0.708 0.461 0.102
Cl 0.194 0.120 0.961
Cl 0.194 0.376 0.154
Cl 0.806 0.624 0.846
Cl 0.880 0.806 0.539
Cl 0.292 0.539 0.898
Cl 0.376 0.194 0.654
Cl 0.806 0.880 0.039
Cl 0.539 0.292 0.398
Cl 0.461 0.708 0.602
Cl 0.120 0.194 0.461
W 0.000 0.500 0.000
W 0.500 0.000 0.500
Cs 0.884 0.116 0.750
Cs 0.116 0.884 0.250

=====

Record 2
The following is a DFT calculation (PBE) of TmScTlZn after structural relaxation.

Results
Electronic total energy (eV/cell): -15.745
Space group: No. 99
Formation enthalpy at 0 K (eV per atom): -0.3254
N(E_F) (states/eV per cell): 2.92
E above lowest polymorph (eV/atom): 0.000

Cell lengths 3.546, 3.546, 7.146 Å; angles 90.00, 90.00, 90.00 degrees
Element x y z (fractional)
Sc 0.000 0.000 0.380
Zn 0.500 0.500 0.592
Tl 0.500 0.500 0.121
Tm 0.000 0.000 0.835

=====

Record 3
The following is a DFT calculation (PBE) of LiLaPmS3 after structural relaxation.

Results
Electronic total energy (eV/cell): -70.588
E_form (uncorrected) (eV per atom): -1.89
Space group: No. 11
N(E_F) (states/eV per cell): 4.13

Cell lengths 3.948, 8.353, 8.604 Å; angles 102.07, 90.00, 90.00 degrees
Element x y z (fractional)
S 0.750 0.205 0.496
S 0.750 0.422 0.173
S 0.250 0.795 0.504
S 0.250 0.578 0.827
S 0.750 0.902 0.136
S 0.250 0.098 0.864
La 0.750 0.820 0.781
La 0.250 0.180 0.219
Pm 0.250 0.660 0.167
Pm 0.750 0.340 0.833
Li 0.750 0.913 0.415
Li 0.250 0.087 0.585

=====

Record 4
The following is a DFT calculation (PBE) of Ho6BiRu2 after structural relaxation.

Results
Electronic total energy (eV/cell): -52.891
Space group: No. 12
Formation enthalpy at 0 K (eV per atom): -0.3324
N(E_F) (states/eV per cell): 8.30
E above lowest polymorph (eV/atom): 0.106

Cell lengths 4.813, 5.742, 9.691 Å; angles 80.99, 90.00, 114.78 degrees
Element x y z (fractional)
Ho 0.335 0.670 0.380
Ho 0.727 0.454 0.142
Ho 0.973 0.945 0.836
Ho 0.273 0.546 0.858
Ho 0.027 0.055 0.164
Ho 0.665 0.330 0.620
Ru 0.396 0.793 0.097
Ru 0.604 0.207 0.903
Bi 0.000 0.000 0.500